Here is a relaxed structure of SmCu6Pd12 from the Alexandria database. Energies are from PBE.

a b c (Å): 11.4677 11.4677 8.2031
angles (deg): 90.00 90.00 120.00
Space group R-3m (No. 166, hexagonal axes)
Asymmetric unit:
1 Sm 0.0000 0.0000 0.0000 [3 per cell]
2 Cu 0.0551 0.5276 0.2398 [18 per cell]
3 Pd 0.0000 0.3831 0.5000 [18 per cell]
4 Pd 0.0814 0.1629 0.2958 [18 per cell]

Properties
DOS at the Fermi energy	55.3	states/eV per cell
E_form	-0.014	eV/atom
final energy	-4.836	eV per atom